(w)
An optimized crystal structure of PAu3Br, computed with PBE.

a b c (Å): 5.119 5.119 5.119
angles (deg): 90.00 90.00 90.00
Space group Pm-3m (No. 221)
One atom of each set of equivalent atoms:
P: 0.000 0.000 0.000
Au: 0.000 0.500 0.500
Br: 0.500 0.500 0.500


(x)
An optimized crystal structure of PAu3Br, computed with PBE.

a b c (Å): 4.830 4.830 4.830
angles (deg): 90.00 90.00 90.00
Space group Pm-3m (No. 221)
One atom of each set of equivalent atoms:
P: 0.000 0.000 0.000
Au: 0.000 0.000 0.500
Br: 0.500 0.500 0.500


Name the most stable of them. (x).


(w)
An optimized crystal structure of PbAuBr6, computed with PBE.

a b c (Å): 14.547 7.742 5.801
angles (deg): 90.00 94.97 90.00
Space group C2/m (No. 12)
One atom of each set of equivalent atoms:
Pb: 0.000 0.000 0.000
Au: 0.000 0.500 0.500
Br: 0.092 0.277 0.727
Br: 0.183 0.000 0.174


(x)
An optimized crystal structure of PbAuBr6, computed with PBE.

a b c (Å): 6.125 7.347 8.118
angles (deg): 77.34 70.16 84.42
Space group P-1 (No. 2)
One atom of each set of equivalent atoms:
Pb: 0.000 0.000 0.000
Au: 0.500 0.500 0.000
Br: 0.157 0.295 0.149
Br: 0.292 0.725 0.191
Br: 0.312 0.996 0.657


Name the most stable of them. (x).


(w)
An optimized crystal structure of Pb2AuBr6, computed with PBE.

a b c (Å): 7.078 7.078 13.128
angles (deg): 90.00 90.00 90.00
Space group P4_2/mnm (No. 136)
One atom of each set of equivalent atoms:
Pb: 0.000 0.000 0.162
Au: 0.000 0.000 0.500
Br: 0.188 0.188 0.357
Br: 0.197 0.197 0.000


(x)
An optimized crystal structure of Pb2AuBr6, computed with PBE.

a b c (Å): 7.344 7.890 12.226
angles (deg): 90.00 116.45 90.00
Space group P2_1/c (No. 14)
One atom of each set of equivalent atoms:
Pb: 0.155 0.120 0.218
Au: 0.500 0.000 0.000
Br: 0.155 0.159 0.951
Br: 0.193 0.647 0.900
Br: 0.456 0.069 0.784


Name the most stable of them. (x).


(w)
An optimized crystal structure of Pb2AuBr, computed with PBE.

a b c (Å): 4.161 5.871 9.263
angles (deg): 90.00 90.00 90.00
Space group Immm (No. 71)
One atom of each set of equivalent atoms:
Pb: 0.000 0.000 0.230
Au: 0.000 0.500 0.500
Br: 0.000 0.500 0.000


(x)
An optimized crystal structure of Pb2AuBr, computed with PBE.

a b c (Å): 7.546 7.546 7.546
angles (deg): 90.00 90.00 90.00
Space group Fm-3m (No. 225)
One atom of each set of equivalent atoms:
Pb: 0.250 0.250 0.250
Au: 0.000 0.000 0.000
Br: 0.000 0.000 0.500


(y)
An optimized crystal structure of Pb2AuBr, computed with PBE.

a b c (Å): 3.9601 3.9601 25.9641
angles (deg): 90.00 90.00 120.00
Space group R3m (No. 160, hexagonal axes)
One atom of each set of equivalent atoms:
Pb: 0.0000 0.0000 0.0000
Pb: 0.0000 0.0000 0.2308
Au: 0.0000 0.0000 0.4975
Br: 0.0000 0.0000 0.7549


(z)
An optimized crystal structure of Pb2AuBr, computed with PBE.

a b c (Å): 3.629 6.082 5.123
angles (deg): 90.00 90.02 90.00
Space group Pm (No. 6)
One atom of each set of equivalent atoms:
Pb: 0.000 0.000 0.000
Pb: 0.495 0.500 0.499
Au: 0.499 0.000 0.500
Br: 0.994 0.500 0.999


Name the most stable of them. (z).


(w)
An optimized crystal structure of Pb2AuBr, computed with PBE.

a b c (Å): 4.096 4.096 8.002
angles (deg): 90.00 90.00 90.00
Space group P4mm (No. 99)
One atom of each set of equivalent atoms:
Pb: 0.000 0.000 0.000
Pb: 0.500 0.500 0.406
Au: 0.000 0.000 0.350
Br: 0.500 0.500 0.820


(x)
An optimized crystal structure of Pb2AuBr, computed with PBE.

a b c (Å): 3.816 3.840 16.471
angles (deg): 90.00 90.00 90.00
Space group Imm2 (No. 44)
One atom of each set of equivalent atoms:
Pb: 0.000 0.000 0.000
Pb: 0.000 0.500 0.216
Au: 0.000 0.500 0.635
Br: 0.000 0.000 0.382


(y)
An optimized crystal structure of Pb2AuBr, computed with PBE.

a b c (Å): 6.953 4.058 8.729
angles (deg): 90.00 106.00 90.00
Space group C2/m (No. 12)
One atom of each set of equivalent atoms:
Pb: 0.239 0.000 0.218
Au: 0.000 0.500 0.000
Br: 0.000 0.000 0.500


Name the most stable of them. (y).